Dy2VFeO6 | PBE+U | relaxed

POSCAR file:
```
Dy2VFeO6
1.0
5.2521 0.0000 0.0000
0.0000 5.6796 0.0000
-5.2338 0.0000 7.5494
Dy V Fe O
4 2 2 12
direct
0.2271 0.0731 0.2494
0.2271 0.4269 0.7494
0.7729 0.5731 0.2506
0.7729 0.9269 0.7506
0.5000 0.0000 0.0000
0.5000 0.5000 0.5000
0.0000 0.0000 0.5000
0.0000 0.5000 0.0000
0.1343 0.1949 0.9442
0.1343 0.3051 0.4442
0.2490 0.6889 0.9441
0.2490 0.8111 0.4441
0.3587 0.0391 0.7479
0.3587 0.4609 0.2479
0.6413 0.5391 0.7521
0.6413 0.9609 0.2521
0.7510 0.1889 0.5559
0.7510 0.3111 0.0559
0.8657 0.6949 0.5558
0.8657 0.8051 0.0558
```

## Properties
* symmetry: P2_1/c, No. 14
* relative energy among the computed polymorphs: 0 meV/atom
* M_tot: 6.000 Bohr magnetons per cell
* mass density: 7.78 g/cm3
* DFT total energy: -7.76 eV/atom